1.
SrMn2CdI meta-GGA SCAN PBEsol geometry; symmetry = No. 123; magnetization = 9.132 μB/f.u.; Fermi-level density of states = 0.90 states/eV per cell; uncorrected formation energy = 733 meV per atom
1.0
6.031 0.000 0.000
0.000 6.031 0.000
0.000 0.000 6.058
Sr Mn Cd I
1 2 1 1
direct
0.000 0.000 0.000
0.000 0.500 0.000
0.500 0.000 0.000
0.500 0.500 0.500
0.000 0.000 0.500


2.
Cd3IN meta-GGA SCAN PBEsol geometry; symmetry = No. 221; magnetization = 2.516 μB/f.u.; Fermi-level density of states = 2.84 states/eV per cell; uncorrected formation energy = 1468 meV per atom
1.0
6.335 0.000 0.000
0.000 6.335 0.000
0.000 0.000 6.335
Cd I N
3 1 1
direct
0.000 0.000 0.500
0.000 0.500 0.000
0.500 0.000 0.000
0.000 0.000 0.000
0.500 0.500 0.500


3.
CdIN3 meta-GGA SCAN PBEsol geometry; symmetry = No. 221; magnetization = 0.000 μB/f.u.; Fermi-level density of states = 2.01 states/eV per cell; uncorrected formation energy = 2006 meV per atom
1.0
3.985 0.000 0.000
0.000 3.985 0.000
0.000 0.000 3.985
Cd I N
1 1 3
direct
0.000 0.000 0.000
0.500 0.500 0.500
0.000 0.500 0.500
0.500 0.000 0.500
0.500 0.500 0.000